(1)
## UCoC2 (GGA-PBE)

Data for UCoC2 after structural relaxation.

Its crystal system is trigonal. The value obtained for the energy of formation is 604 meV per atom.

abc: 3.685 3.685 5.717
angles: 71.20 71.20 60.00
Each line ends with the local moment (μB).
Fractional coordinates of all 4 atoms:
1 Co 0.000 0.000 0.000  1.70
2 C 0.114 0.114 0.658  0.02
3 C 0.886 0.886 0.342  0.02
4 U 0.500 0.500 0.500  0.60



(2)
## LuMgCdRu (GGA-PBE)

Data for LuMgCdRu after structural relaxation.

Its crystal system is cubic. The value obtained for the energy of formation is -150 meV per atom.

abc: 4.793 4.793 4.793
angles: 60.00 60.00 60.00
Fractional coordinates of all 4 atoms:
1 Ru 0.250 0.250 0.250
2 Mg 0.000 0.000 0.000
3 Lu 0.500 0.500 0.500
4 Cd 0.750 0.750 0.750



(3)
## Pr4GaAg (GGA-PBE)

Data for Pr4GaAg after structural relaxation.

Its crystal system is orthorhombic. The value obtained for the energy of formation is -64 meV per atom. As for the energy above the most stable polymorph in this dataset: 0.149 eV per atom.

abc: 5.421 6.520 11.545
angles: 90.00 103.58 90.00
Fractional coordinates of all 12 atoms:
1 Pr 0.879 0.291 0.758
2 Pr 0.121 0.791 0.242
3 Pr 0.438 0.852 0.875
4 Pr 0.562 0.352 0.125
5 Pr 0.718 0.553 0.436
6 Pr 0.282 0.053 0.564
7 Pr 0.695 0.076 0.390
8 Pr 0.305 0.576 0.610
9 Ga 0.840 0.818 0.681
10 Ga 0.160 0.318 0.319
11 Ag 0.572 0.844 0.145
12 Ag 0.428 0.344 0.855



(4)
## TaBe2W (GGA-PBE)

Data for TaBe2W after structural relaxation.

Its crystal system is monoclinic. The value obtained for the energy of formation is 71 meV per atom. As for the energy above the most stable polymorph in this dataset: 0.295 eV per atom.

abc: 3.459 2.737 5.896
angles: 67.96 90.00 90.00
Fractional coordinates of all 4 atoms:
1 Be 0.000 0.024 0.979
2 Be 0.000 0.476 0.521
3 W 0.500 0.750 0.750
4 Ta 0.500 0.250 0.250



(5)
## Ta4Pb (GGA-PBE)

Data for Ta4Pb after structural relaxation.

Its crystal system is tetragonal. The value obtained for the energy of formation is 213 meV per atom. As for the energy above the most stable polymorph in this dataset: 0.000 eV per atom.

abc: 5.545 5.545 5.545
angles: 95.82 95.82 142.87
Fractional coordinates of all 5 atoms:
1 Ta 0.813 0.402 0.215
2 Ta 0.402 0.187 0.589
3 Ta 0.187 0.598 0.785
4 Ta 0.598 0.813 0.411
5 Pb 0.000 0.000 0.000



(6)
## La5TbPmSm2 (GGA-PBE)

Data for La5TbPmSm2 after structural relaxation.

Its crystal system is tetragonal. The value obtained for the energy of formation is 269 meV per atom.

abc: 9.090 9.090 10.098
angles: 116.75 116.75 90.00
Fractional coordinates of all 18 atoms:
1 La 0.934 0.434 0.279
2 La 0.655 0.155 0.721
3 La 0.066 0.566 0.721
4 La 0.155 0.066 0.721
5 La 0.566 0.655 0.721
6 La 0.845 0.934 0.279
7 La 0.434 0.345 0.279
8 La 0.345 0.845 0.279
9 La 0.500 0.500 0.000
10 La 0.000 0.000 0.000
11 Tb 0.250 0.750 0.500
12 Tb 0.750 0.250 0.500
13 Pm 0.250 0.250 0.500
14 Pm 0.750 0.750 0.500
15 Sm 0.115 0.385 0.000
16 Sm 0.615 0.115 0.000
17 Sm 0.385 0.885 0.000
18 Sm 0.885 0.615 0.000



(7)
## MnZn2I6 (GGA-PBE)

Data for MnZn2I6 after structural relaxation.

Its crystal system is triclinic. For the formation energy without anion corrections, the calculation gives -0.500 eV per atom.

abc: 4.154 10.822 8.846
angles: 101.97 100.59 103.35
Each line ends with the local moment (μB).
Fractional coordinates of all 9 atoms:
1 Mn 0.500 0.000 0.000  4.36
2 Zn 0.632 0.665 0.573  0.00
3 Zn 0.368 0.335 0.427  0.00
4 I 0.254 0.830 0.633  0.02
5 I 0.059 0.154 0.917  0.07
6 I 0.422 0.520 0.274  0.00
7 I 0.941 0.846 0.083  0.07
8 I 0.746 0.170 0.367  0.02
9 I 0.578 0.480 0.726  0.00



(8)
## Al2Tl (GGA-PBE)

Data for Al2Tl after structural relaxation.

Its crystal system is orthorhombic. The value obtained for the energy of formation is 198 meV per atom. As for the energy above the most stable polymorph in this dataset: 0.021 eV per atom.

abc: 6.323 6.323 4.494
angles: 90.00 90.00 130.30
Fractional coordinates of all 6 atoms:
1 Al 0.848 0.445 0.750
2 Al 0.152 0.555 0.250
3 Al 0.445 0.848 0.750
4 Al 0.555 0.152 0.250
5 Tl 0.229 0.229 0.750
6 Tl 0.771 0.771 0.250



(9)
## KMo2 (GGA-PBE)

Data for KMo2 after structural relaxation.

Its crystal system is trigonal. The value obtained for the energy of formation is 1119 meV per atom. As for the energy above the most stable polymorph in this dataset: 0.480 eV per atom.

abc: 2.816 2.816 8.707
angles: 90.00 90.00 120.00
Fractional coordinates of all 3 atoms:
1 K 0.000 0.000 0.000
2 Mo 0.667 0.333 0.637
3 Mo 0.333 0.667 0.363



(10)
## Ba2SrAl (GGA-PBE)

Data for Ba2SrAl after structural relaxation.

Its crystal system is trigonal. The value obtained for the energy of formation is 96 meV per atom.

abc: 12.756 12.756 12.756
angles: 19.40 19.40 19.40
Fractional coordinates of all 4 atoms:
1 Sr 0.250 0.250 0.250
2 Ba 0.018 0.018 0.018
3 Ba 0.482 0.482 0.482
4 Al 0.750 0.750 0.750



(11)
## K2PtPbO4 (GGA-PBE)

Data for K2PtPbO4 after structural relaxation.

Its crystal system is tetragonal. For the formation energy without anion corrections, the calculation gives -0.995 eV per atom.

abc: 5.717 5.717 5.717
angles: 103.47 112.56 112.56
Each line ends with the local moment (μB).
Fractional coordinates of all 8 atoms:
1 K 0.500 0.750 0.250  0.00
2 K 0.000 0.000 0.000  0.00
3 Pt 0.500 0.250 0.750  0.12
4 Pb 0.000 0.500 0.500  0.00
5 O 0.608 0.489 0.565  0.03
6 O 0.075 0.119 0.511  0.03
7 O 0.925 0.435 0.043  0.03
8 O 0.392 0.957 0.881  0.03



(12)
## AgBi2Te2 (GGA-PBE)

Data for AgBi2Te2 after structural relaxation.

Its crystal system is tetragonal. For the formation energy without anion corrections, the calculation gives 0.103 eV per atom. As for the energy above the most stable polymorph in this dataset: 0.000 eV per atom.

abc: 6.199 6.199 6.278
angles: 60.42 60.42 90.00
Fractional coordinates of all 5 atoms:
1 Te 0.750 0.250 0.500
2 Te 0.250 0.750 0.500
3 Bi 0.316 0.316 0.367
4 Bi 0.684 0.684 0.633
5 Ag 0.000 0.000 0.000



Result set for final energy: -8.61; -4.23; -4.23; -7.99; -10.01; -4.56; -2.83; -3.09; -6.47; -2.22; -4.97; -3.28 eV per atom, one per record in the order listed.
Result set for volume: 62; 78; 397; 52; 98; 644; 367; 137; 60; 200; 143; 173 Å³ per cell, one per record in the order listed.
Result set for density: 8.54; 8.80; 6.21; 12.29; 15.85; 6.70; 4.28; 6.26; 6.42; 3.23; 6.34; 7.51 g cm⁻³, one per record in the order listed.